1.
CaBeRe | meta-GGA SCAN | PBEsol geometry

Computed properties:
Energy relative to the elements, kJ/mol of atoms: 203
E_tot, eV per atom: -26.26
Symmetry: No. 216

Lattice parameters (Å, degrees): 4.4940 4.4940 4.4940 60.00 60.00 60.00
With the nearest neighbours (Å) after each atom.
Atoms (fractional coordinates):
Be1 0.5000 0.5000 0.5000  4 Ca 2.75
Re1 0.0000 0.0000 0.0000  4 Ca 2.75
Ca1 0.7500 0.7500 0.7500  4 Be 2.75, 4 Re 2.75


2.
CaBe2Rh | meta-GGA SCAN | PBEsol geometry

Computed properties:
Energy relative to the elements, kJ/mol of atoms: -17
E_tot, eV per atom: -13.22
ΔE to the lowest computed polymorph, eV/atom: 0.245
Symmetry: No. 6

Lattice parameters (Å, degrees): 2.9879 3.5208 5.8901 90.00 104.75 90.00
With the nearest neighbours (Å) after each atom.
Atoms (fractional coordinates):
Be1 0.8988 0.5000 0.1699  2 Be 2.11, 2 Rh 2.23
Be2 0.7934 0.0000 0.9660  2 Be 2.11, 2 Rh 2.36
Ca1 0.5562 0.0000 0.4852  5 Be 2.74-2.93, 2 Ca 2.99
Rh1 0.2516 0.5000 0.8789  6 Be 2.23-2.37


What is the E_tot in the first record? -26.26 eV per atom


What is the formula in the first record? CaBeRe


Among the records above, which one has the lowest energy relative to the elements? CaBe2Rh


The lowest E_tot belongs to which entry? CaBeRe